Density functional theory data (PBE-GGA) for an optimized crystal structure of Sm6Dy7.

V	33.99	Å³/atom
E_form	264	meV per atom
symmetry	No. 166

a = 6.605 Å, b = 6.605 Å, c = 12.300 Å
α = 74.43°, β = 74.43°, γ = 60.00°
Sites, in units of the cell vectors:
Dy: 0.000 0.000 0.000
Sm: 0.547 0.547 0.358
Dy: 0.088 0.088 0.239
Dy: 0.912 0.416 0.761
Dy: 0.416 0.912 0.761
Sm: 0.650 0.650 0.050
Dy: 0.912 0.912 0.761
Sm: 0.350 0.350 0.950
Sm: 0.166 0.166 0.501
Dy: 0.584 0.088 0.239
Sm: 0.453 0.453 0.642
Dy: 0.088 0.584 0.239
Sm: 0.834 0.834 0.499